MnAgI | PBE | optimized geometry

## Properties
E_form (uncorrected) = 7.36 kcal/mol of atoms
energy = -50.5 eV for the cell shown

a b c (Å): 12.6018 3.7830 6.5723
angles (deg): 90.00 90.00 90.00
Space group Amm2 (No. 38)
Inequivalent atoms, fractional coordinates:
1 Mn 0.0000 0.0000 0.0000 (multiplicity 2)
2 Mn 0.5000 0.0000 0.2239 (multiplicity 2)
3 Ag 0.1314 0.0000 0.3351 (multiplicity 4)
4 I 0.3518 0.0000 0.8918 (multiplicity 4)